(1)
# Ho8GeSe3S4

A relaxed Ho8GeSe3S4 crystal (PBE, the Alexandria database).

```
Ho8GeSe3S4
1.0
-1.698 -7.572 1.774
6.317 -2.411 -4.248
0.942 5.338 5.829
Ho Ge Se S
8 1 3 4
Direct
0.249 0.764 0.014
0.249 0.764 0.499
0.242 0.225 0.483
0.765 0.764 0.014
0.235 0.236 0.986
0.758 0.775 0.517
0.751 0.236 0.501
0.751 0.236 0.986
0.000 0.500 0.000
0.500 0.500 0.000
0.500 0.500 0.500
0.000 0.500 0.500
0.500 0.000 0.000
0.500 0.000 0.500
0.000 0.000 0.000
0.000 0.000 0.500
```

Summary:
density: 8.14 g cm⁻³
E_form (uncorrected): -1.782 eV per atom
space-group type: No. 166
calculated volume: 22.39 A^3/atom
M_tot: 0.00 μB/atom

=====

(2)
# Ho6Ge3SeS2

A relaxed Ho6Ge3SeS2 crystal (PBE, the Alexandria database).

```
Ho6Ge3SeS2
1.0
-3.006 1.027 2.527
2.704 -5.421 5.419
5.829 6.904 0.868
Ho Ge Se S
6 3 1 2
Direct
0.330 0.917 0.660
0.667 0.584 0.333
0.670 0.083 0.340
0.001 0.258 0.001
0.999 0.742 0.999
0.333 0.416 0.667
0.500 0.500 0.000
0.834 0.168 0.669
0.166 0.832 0.331
0.500 0.000 0.000
0.833 0.666 0.665
0.167 0.334 0.335
```

Summary:
density: 7.91 g cm⁻³
E_form (uncorrected): -1.417 eV per atom
space-group type: No. 12
calculated volume: 23.64 A^3/atom
M_tot: 0.00 μB/atom

=====

(3)
# Ho6GeSe3S2

A relaxed Ho6GeSe3S2 crystal (PBE, the Alexandria database).

```
Ho6GeSe3S2
1.0
-5.087 -1.249 -4.511
0.362 -3.612 5.883
-2.238 6.174 2.577
Ho Ge Se S
6 1 3 2
Direct
0.924 0.588 0.769
0.742 0.742 0.231
0.076 0.412 0.231
0.588 0.924 0.769
0.258 0.258 0.769
0.412 0.076 0.231
0.000 0.000 0.000
0.166 0.834 0.500
0.834 0.166 0.500
0.500 0.500 0.500
0.333 0.667 0.000
0.667 0.333 0.000
```

Summary:
density: 8.20 g cm⁻³
E_form (uncorrected): -1.728 eV per atom
space-group type: No. 12
calculated volume: 23.01 A^3/atom
M_tot: 0.00 μB/atom

=====

(4)
# Ho6GeSe2S3

A relaxed Ho6GeSe2S3 crystal (PBE, the Alexandria database).

```
Ho6GeSe2S3
1.0
6.910 0.003 0.002
-3.451 5.987 0.002
-1.152 -1.995 6.515
Ho Ge Se S
6 1 2 3
Direct
0.913 0.590 0.737
0.765 0.765 0.262
0.087 0.410 0.263
0.590 0.913 0.737
0.235 0.235 0.738
0.410 0.087 0.263
0.000 0.000 0.000
0.333 0.667 0.000
0.667 0.333 0.000
0.169 0.831 0.500
0.831 0.169 0.500
0.500 0.500 0.500
```

Summary:
density: 8.11 g cm⁻³
E_form (uncorrected): -1.756 eV per atom
space-group type: No. 12
calculated volume: 22.47 A^3/atom
M_tot: 0.00 μB/atom

=====

(5)
# Ho6Ge2SeS3

A relaxed Ho6Ge2SeS3 crystal (PBE, the Alexandria database).

```
Ho6Ge2SeS3
1.0
4.020 0.000 0.000
0.000 8.012 0.335
-2.010 -2.263 8.418
Ho Ge Se S
6 2 1 3
Direct
0.330 0.911 0.660
0.667 0.583 0.333
0.670 0.089 0.340
0.002 0.262 0.005
0.998 0.738 0.995
0.333 0.417 0.667
0.834 0.668 0.667
0.166 0.332 0.333
0.500 0.000 0.000
0.500 0.500 0.000
0.836 0.165 0.672
0.164 0.835 0.328
```

Summary:
density: 7.93 g cm⁻³
E_form (uncorrected): -1.618 eV per atom
space-group type: No. 12
calculated volume: 22.85 A^3/atom
M_tot: 0.00 μB/atom

=====

(6)
# Ho6SiGe2S3

A relaxed Ho6SiGe2S3 crystal (PBE, the Alexandria database).

```
Ho6SiGe2S3
1.0
-2.541 -3.119 -0.041
5.868 -4.743 -2.828
2.009 0.842 8.736
Ho Si Ge S
6 1 2 3
Direct
0.334 0.917 0.668
0.666 0.583 0.333
0.666 0.083 0.332
0.000 0.247 0.000
0.000 0.753 0.000
0.334 0.417 0.667
0.500 0.000 0.000
0.833 0.667 0.666
0.167 0.333 0.334
0.500 0.500 0.000
0.833 0.167 0.667
0.167 0.833 0.333
```

Summary:
density: 7.57 g cm⁻³
E_form (uncorrected): -1.417 eV per atom
space-group type: No. 12
calculated volume: 23.02 A^3/atom
M_tot: 0.00 μB/atom

=====

(7)
# Ho6Si2GeS3

A relaxed Ho6Si2GeS3 crystal (PBE, the Alexandria database).

```
Ho6Si2GeS3
1.0
4.014 0.000 0.000
0.000 8.050 0.239
-2.007 -2.373 8.443
Ho Si Ge S
6 2 1 3
Direct
0.333 0.914 0.666
0.667 0.581 0.334
0.667 0.086 0.334
0.000 0.250 0.001
0.000 0.750 0.999
0.333 0.419 0.666
0.833 0.667 0.667
0.167 0.333 0.333
0.500 0.000 0.000
0.500 0.500 0.000
0.833 0.167 0.667
0.167 0.833 0.333
```

Summary:
density: 7.33 g cm⁻³
E_form (uncorrected): -1.391 eV per atom
space-group type: No. 12
calculated volume: 22.93 A^3/atom
M_tot: 0.00 μB/atom

=====

(8)
# Ho6SnGe2S3

A relaxed Ho6SnGe2S3 crystal (PBE, the Alexandria database).

```
Ho6SnGe2S3
1.0
4.037 0.000 0.000
0.000 8.197 0.261
-2.019 -2.399 8.558
Ho Sn Ge S
6 1 2 3
Direct
0.327 0.911 0.655
0.669 0.581 0.338
0.673 0.089 0.345
0.999 0.268 0.999
0.001 0.732 0.001
0.331 0.419 0.662
0.500 0.000 0.000
0.834 0.668 0.669
0.166 0.332 0.331
0.500 0.500 0.000
0.833 0.169 0.666
0.167 0.831 0.334
```

Summary:
density: 7.84 g cm⁻³
E_form (uncorrected): -1.374 eV per atom
space-group type: No. 12
calculated volume: 23.81 A^3/atom
M_tot: 0.00 μB/atom